(1)
Entry from Alexandria: a geometry-optimized InTc2Mo structure (PBE).

Cell and atoms, written as POSCAR:
```
InTc2Mo
1.0
3.1505 0.0000 0.0000
0.0000 3.1505 0.0000
0.0000 0.0000 6.5904
In Tc Mo
1 2 1
Direct
0.5000 0.5000 0.2500
0.0000 0.0000 0.5228
0.0000 0.0000 0.9772
0.5000 0.5000 0.7500
```

Computed properties:
The calculated formation energy comes out at 0.133 eV/atom. Its total energy is -0.310 Ha/atom. The space group is No. 123.

(2)
Entry from Alexandria: a geometry-optimized InTc2Mo structure (PBE).

Cell and atoms, written as POSCAR:
```
InTc2Mo
1.0
-0.1210 6.4745 3.4039
-6.7007 1.2673 -2.6486
-4.5173 2.6784 2.6065
Mo Tc In
2 4 2
Direct
0.2500 0.7500 0.5000
0.5000 0.5000 0.0000
0.1755 0.6250 0.2500
0.3750 0.4255 0.7500
0.8750 0.8245 0.7500
0.5745 0.1250 0.2500
0.7500 0.2500 0.5000
0.0000 0.0000 0.0000
```

Computed properties:
The calculated formation energy comes out at 0.754 eV/atom. Its total energy is -0.287 Ha/atom. The space group is No. 122.

(3)
Entry from Alexandria: a geometry-optimized InTc2Mo structure (PBE).

Cell and atoms, written as POSCAR:
```
InTc2Mo
1.0
2.8371 0.0062 0.0000
-1.0781 2.6243 0.0000
0.0000 0.0000 8.9359
Tc In Mo
2 1 1
Direct
0.0000 0.0000 0.9825
0.0000 0.0000 0.5175
0.5000 0.5000 0.2500
0.5000 0.5000 0.7500
```

Computed properties:
The calculated formation energy comes out at 0.297 eV/atom. Its total energy is -0.304 Ha/atom. The space group is No. 65.

(4)
Entry from Alexandria: a geometry-optimized InTc3Mo structure (PBE).

Cell and atoms, written as POSCAR:
```
InTc3Mo
1.0
4.7108 0.0000 0.0000
0.0000 4.7108 0.0000
0.0000 0.0000 4.7108
Mo Tc In
1 3 1
Direct
0.5000 0.5000 0.5000
0.5000 0.0000 0.0000
0.0000 0.5000 0.0000
0.0000 0.0000 0.5000
0.0000 0.0000 0.0000
```

Computed properties:
The calculated formation energy comes out at 2.585 eV/atom. Its total energy is -0.233 Ha/atom. Its energy above the most stable polymorph in this dataset is 1091 meV/atom. The space group is No. 221.

(5)
Entry from Alexandria: a geometry-optimized InTcMo2 structure (PBE).

Cell and atoms, written as POSCAR:
```
InTcMo2
1.0
5.0245 -0.0173 0.0000
-2.0123 4.6039 0.0000
0.0000 0.0000 2.8721
In Mo Tc
1 2 1
Direct
0.0000 0.5000 0.5000
0.0000 0.0000 0.0000
0.5000 0.5000 0.0000
0.5000 0.0000 0.5000
```

Computed properties:
The calculated formation energy comes out at 0.384 eV/atom. Its total energy is -0.305 Ha/atom. The space group is No. 65.

(6)
Entry from Alexandria: a geometry-optimized InTcMo2 structure (PBE).

Cell and atoms, written as POSCAR:
```
InTcMo2
1.0
-2.8570 0.8227 0.3097
-1.1588 -3.2983 -1.9291
-0.2725 -2.8284 4.9997
Tc Mo In
1 2 1
Direct
0.0000 0.0000 0.4592
0.0000 0.0000 0.0404
0.5000 0.5000 0.2525
0.5000 0.5000 0.7479
```

Computed properties:
The calculated formation energy comes out at 0.270 eV/atom. Its total energy is -0.310 Ha/atom. The space group is No. 25.

(7)
Entry from Alexandria: a geometry-optimized ZnIn2TcMo structure (PBE).

Cell and atoms, written as POSCAR:
```
ZnIn2TcMo
1.0
-1.3276 2.4840 -4.4365
-4.5560 -1.0484 0.7763
-0.5745 4.4826 2.6818
Mo In Zn Tc
1 2 1 1
Direct
0.0000 0.5000 0.0000
0.0000 0.0000 0.5000
0.5000 0.0000 0.0000
0.5000 0.5000 0.5000
0.0000 0.0000 0.0000
```

Computed properties:
The calculated formation energy comes out at 0.899 eV/atom. Its total energy is -0.172 Ha/atom. Its energy above the most stable polymorph in this dataset is 0 meV/atom. The space group is No. 123.

(8)
Entry from Alexandria: a geometry-optimized ZnIn2TcMo structure (PBE).

Cell and atoms, written as POSCAR:
```
ZnIn2TcMo
1.0
-3.3952 -3.0210 -2.3083
-1.2464 -2.0392 4.5022
-3.3979 3.3710 0.5861
In Zn Mo Tc
2 1 1 1
Direct
0.0000 0.5000 0.0000
0.5000 0.0000 0.0000
0.0000 0.0000 0.5000
0.5000 0.5000 0.5000
0.0000 0.0000 0.0000
```

Computed properties:
The calculated formation energy comes out at 1.182 eV/atom. Its total energy is -0.162 Ha/atom. Its energy above the most stable polymorph in this dataset is 282 meV/atom. The space group is No. 123.

(9)
Entry from Alexandria: a geometry-optimized InTe2Mo structure (PBE).

Cell and atoms, written as POSCAR:
```
InTe2Mo
1.0
9.2029 0.0401 -0.0017
7.8771 4.7588 0.0017
-8.5110 -2.5027 2.4484
Te Mo In
2 1 1
Direct
0.7750 0.2750 0.5000
0.0829 0.0829 0.0000
0.2013 0.7013 0.5000
0.4408 0.4408 0.0000
```

Computed properties:
Its total energy is -0.179 Ha/atom. The value obtained for the uncorrected formation energy is 0.085 eV/atom. The space group is No. 44.

(10)
Entry from Alexandria: a geometry-optimized InTeMo2 structure (PBE).

Cell and atoms, written as POSCAR:
```
InTeMo2
1.0
3.2655 0.0000 0.0000
0.0000 3.2655 0.0000
0.0000 0.0000 8.0932
Te Mo In
1 2 1
Direct
0.0000 0.0000 0.4243
0.5000 0.5000 0.2150
0.0000 0.0000 0.0423
0.5000 0.5000 0.8184
```

Computed properties:
Its total energy is -0.246 Ha/atom. Its energy above the most stable polymorph in this dataset is 0 meV/atom. The value obtained for the uncorrected formation energy is 0.183 eV/atom. The space group is No. 99.

(11)
Entry from Alexandria: a geometry-optimized InTeMo structure (PBE).

Cell and atoms, written as POSCAR:
```
InTeMo
1.0
-6.6072 1.6218 0.4545
-5.4617 -1.2671 3.8803
6.5699 1.6276 -0.8243
Mo Te In
1 1 1
Direct
0.3240 0.3240 0.0000
0.7049 0.7049 0.0000
0.9711 0.9711 0.0000
```

Computed properties:
Its total energy is -0.197 Ha/atom. Its energy above the most stable polymorph in this dataset is 59 meV/atom. The value obtained for the uncorrected formation energy is 0.210 eV/atom. The space group is No. 107.

(12)
Entry from Alexandria: a geometry-optimized InTe2Mo structure (PBE).

Cell and atoms, written as POSCAR:
```
InTe2Mo
1.0
5.5703 0.0063 0.0261
4.5165 3.2604 0.0261
2.7678 0.8964 6.4166
Mo In Te
1 1 2
Direct
0.2594 0.2594 0.3794
0.5453 0.5453 0.3663
0.9269 0.9269 0.0844
0.7685 0.7685 0.6699
```

Computed properties:
Its total energy is -0.180 Ha/atom. The value obtained for the uncorrected formation energy is 0.071 eV/atom. The space group is No. 8.

(13)
Entry from Alexandria: a geometry-optimized InTeMo3 structure (PBE).

Cell and atoms, written as POSCAR:
```
InTeMo3
1.0
-1.4346 1.6795 4.3650
-4.6518 -0.0397 -1.5136
-0.4842 -4.5945 1.6087
Mo Te In
3 1 1
Direct
0.0000 0.0000 0.5000
0.0000 0.5000 0.0000
0.5000 0.0000 0.0000
0.0000 0.0000 0.0000
0.5000 0.5000 0.5000
```

Computed properties:
Its total energy is -0.222 Ha/atom. Its energy above the most stable polymorph in this dataset is 0 meV/atom. The value obtained for the uncorrected formation energy is 1.627 eV/atom. The space group is No. 221.

(14)
Entry from Alexandria: a geometry-optimized InTe2Mo structure (PBE).

Cell and atoms, written as POSCAR:
```
InTe2Mo
1.0
9.1827 3.3050 4.2736
10.3864 0.7494 2.2516
9.8650 3.9165 0.9227
In Te Mo
1 2 1
Direct
0.0000 0.0000 0.0000
0.1068 0.1068 0.1068
0.8932 0.8932 0.8932
0.5000 0.5000 0.5000
```

Computed properties:
Its total energy is -0.183 Ha/atom. The value obtained for the uncorrected formation energy is -0.029 eV/atom. The space group is No. 166.

(15)
Entry from Alexandria: a geometry-optimized InTeMo2 structure (PBE).

Cell and atoms, written as POSCAR:
```
InTeMo2
1.0
1.4978 -4.3984 0.6944
-2.6398 -3.6279 -1.3933
1.3547 -2.6245 -3.6535
Mo Te In
2 1 1
Direct
0.2500 0.2500 0.2500
0.7500 0.7500 0.7500
0.5000 0.5000 0.5000
0.0000 0.0000 0.0000
```

Computed properties:
Its total energy is -0.234 Ha/atom. Its energy above the most stable polymorph in this dataset is 332 meV/atom. The value obtained for the uncorrected formation energy is 0.514 eV/atom. The space group is No. 225.

(16)
Entry from Alexandria: a geometry-optimized InTeMo2 structure (PBE).

Cell and atoms, written as POSCAR:
```
InTeMo2
1.0
4.7037 0.0150 -0.0179
3.6150 3.0094 -0.0179
1.0266 0.3732 5.4179
Mo Te In
2 1 1
Direct
0.9987 0.9987 0.0196
0.5013 0.5013 0.4804
0.2500 0.2500 0.2500
0.7500 0.7500 0.7500
```

Computed properties:
Its total energy is -0.233 Ha/atom. Its energy above the most stable polymorph in this dataset is 351 meV/atom. The value obtained for the uncorrected formation energy is 0.534 eV/atom. The space group is No. 12.

(17)
Entry from Alexandria: a geometry-optimized InTe2Mo structure (PBE).

Cell and atoms, written as POSCAR:
```
InTe2Mo
1.0
7.3301 0.0136 -0.0021
5.0477 5.3152 0.0021
-5.8057 -3.5544 2.7185
Te In Mo
2 1 1
Direct
0.0844 0.0844 0.0000
0.4156 0.4156 0.0000
0.7500 0.2500 0.5000
0.2500 0.7500 0.5000
```

Computed properties:
Its total energy is -0.178 Ha/atom. The value obtained for the uncorrected formation energy is 0.126 eV/atom. The space group is No. 71.

(18)
Entry from Alexandria: a geometry-optimized InTeMo2 structure (PBE).

Cell and atoms, written as POSCAR:
```
InTeMo2
1.0
4.7745 0.0000 0.0000
2.3873 4.1349 0.0000
2.3873 1.3783 3.8984
Te Mo In
1 2 1
Direct
0.7500 0.7500 0.7500
0.2500 0.2500 0.2500
0.0000 0.0000 0.0000
0.5000 0.5000 0.5000
```

Computed properties:
Its total energy is -0.230 Ha/atom. Its energy above the most stable polymorph in this dataset is 455 meV/atom. The value obtained for the uncorrected formation energy is 0.638 eV/atom. The space group is No. 216.

(19)
Entry from Alexandria: a geometry-optimized InTe2Mo structure (PBE).

Cell and atoms, written as POSCAR:
```
InTe2Mo
1.0
-1.7274 -3.0363 0.6659
-1.3205 -0.3358 -4.9571
5.6838 -2.9372 1.3512
Te In Mo
2 1 1
Direct
0.0000 0.9308 0.9863
0.5000 0.2429 0.6110
0.0000 0.5681 0.2609
0.5000 0.7582 0.6417
```

Computed properties:
Its total energy is -0.180 Ha/atom. The value obtained for the uncorrected formation energy is 0.061 eV/atom. The space group is No. 38.

(20)
Entry from Alexandria: a geometry-optimized InTe2Mo structure (PBE).

Cell and atoms, written as POSCAR:
```
InTe2Mo
1.0
5.1457 0.0221 0.0000
-1.0440 5.0387 0.0000
0.0000 0.0000 3.5998
Mo Te In
1 2 1
Direct
0.0000 0.5000 0.5000
0.0000 0.0000 0.0000
0.5000 0.5000 0.0000
0.5000 0.0000 0.5000
```

Computed properties:
Its total energy is -0.162 Ha/atom. The value obtained for the uncorrected formation energy is 0.553 eV/atom. The space group is No. 65.